An optimized crystal structure of Ac4HoCo3O12, computed with PBE+U.

Computed properties:
Density of states at the Fermi level in states/eV/f.u.: 2.2
Calculated volume in Å³/cell: 260.5
Uncorrected energy in eV/atom: -7.236
Space group: No. 229

Cell: 6.968 6.968 6.968 Å, 109.47 109.47 109.47°
Last column: magnetic moment on the atom in μB.
Element x y z (fractional)
Ac (0.500, 0.500, 0.500)  0.00
Ac (0.000, 0.000, 0.500)  0.00
Ac (0.500, 0.000, 0.000)  0.00
Ac (0.000, 0.500, 0.000)  0.00
Ho (0.000, 0.000, 0.000)  -0.06
Co (0.500, 0.000, 0.500)  1.99
Co (0.500, 0.500, 0.000)  1.99
Co (0.000, 0.500, 0.500)  1.99
O (0.250, 0.500, 0.750)  0.04
O (0.735, 0.000, 0.735)  -0.05
O (0.265, 0.000, 0.265)  -0.05
O (0.750, 0.500, 0.250)  0.04
O (0.735, 0.735, 0.000)  -0.05
O (0.265, 0.265, 0.000)  -0.05
O (0.750, 0.250, 0.500)  0.04
O (0.250, 0.750, 0.500)  0.04
O (0.500, 0.250, 0.750)  0.04
O (0.000, 0.735, 0.735)  -0.05
O (0.500, 0.750, 0.250)  0.04
O (0.000, 0.265, 0.265)  -0.05